[1]
# ReMoW2 | OQMD via LeMat-Bulk | GGA-PBE | relaxed
# - formation enthalpy at 0 K (eV per atom) = 0.05
# - magnetic moment (μB per cell) = 0.0
# - density (g/cm³) = 17.1
# - calculated total energy (eV/atom) = -12.243
data_ReMoW2
_chemical_formula_sum 'Re1 Mo1 W2'
_cell_length_a 4.468
_cell_length_b 4.468
_cell_length_c 4.468
_cell_angle_alpha 60.00
_cell_angle_beta 60.00
_cell_angle_gamma 60.00
_space_group_name_H-M_alt 'P 1'
_space_group_IT_number 1
loop_
_space_group_symop_operation_xyz
'x,y,z'
loop_
_atom_site_label
_atom_site_type_symbol
_atom_site_fract_x
_atom_site_fract_y
_atom_site_fract_z
Mo1 Mo 0.500 0.500 0.500
Re1 Re 0.750 0.750 0.750
W1 W 0.000 0.000 0.000
W2 W 0.250 0.250 0.250

***

[2]
# KSmZr | OQMD via LeMat-Bulk | GGA-PBE | relaxed
# - magnetic moment (μB per cell) = 4.8
# - density (g/cm³) = 3.6
# - calculated total energy (eV/atom) = -3.366
# - energy above the most stable polymorph in this dataset (eV/atom) = 0.000
data_KSmZr
_chemical_formula_sum 'K1 Sm1 Zr1'
_cell_length_a 5.681
_cell_length_b 5.681
_cell_length_c 5.681
_cell_angle_alpha 60.00
_cell_angle_beta 60.00
_cell_angle_gamma 60.00
_space_group_name_H-M_alt 'P 1'
_space_group_IT_number 1
loop_
_space_group_symop_operation_xyz
'x,y,z'
loop_
_atom_site_label
_atom_site_type_symbol
_atom_site_fract_x
_atom_site_fract_y
_atom_site_fract_z
K1 K 0.250 0.250 0.250
Sm1 Sm 0.750 0.750 0.750
Zr1 Zr 0.000 0.000 0.000

***

[3]
# SmDyB2P2Ir2 | OQMD via LeMat-Bulk | GGA-PBE | relaxed
# - magnetic moment (μB per cell) = 0.0
# - density (g/cm³) = 9.9
# - calculated total energy (eV/atom) = -7.350
data_SmDyB2P2Ir2
_chemical_formula_sum 'Sm1 Dy1 B2 P2 Ir2'
_cell_length_a 3.961
_cell_length_b 3.961
_cell_length_c 8.353
_cell_angle_alpha 90.00
_cell_angle_beta 90.00
_cell_angle_gamma 90.00
_space_group_name_H-M_alt 'P 1'
_space_group_IT_number 1
loop_
_space_group_symop_operation_xyz
'x,y,z'
loop_
_atom_site_label
_atom_site_type_symbol
_atom_site_fract_x
_atom_site_fract_y
_atom_site_fract_z
B1 B 0.000 0.000 0.387
B2 B 0.500 0.500 0.612
Dy1 Dy 0.000 0.000 0.807
Ir1 Ir 0.500 0.000 0.501
Ir2 Ir 0.000 0.500 0.501
P1 P 0.000 0.000 0.146
P2 P 0.500 0.500 0.850
Sm1 Sm 0.500 0.500 0.196

***

[4]
# MoSe2S2Br | OQMD via LeMat-Bulk | GGA-PBE | relaxed
# - magnetic moment (μB per cell) = 0.0
# - density (g/cm³) = 4.0
# - calculated total energy (eV/atom) = -5.032
# - energy above the most stable polymorph in this dataset (eV/atom) = 0.016
data_MoSe2S2Br
_chemical_formula_sum 'Mo2 Se4 S4 Br2'
_cell_length_a 6.274
_cell_length_b 8.035
_cell_length_c 8.077
_cell_angle_alpha 119.38
_cell_angle_beta 104.74
_cell_angle_gamma 97.74
_space_group_name_H-M_alt 'P 1'
_space_group_IT_number 1
loop_
_space_group_symop_operation_xyz
'x,y,z'
loop_
_atom_site_label
_atom_site_type_symbol
_atom_site_fract_x
_atom_site_fract_y
_atom_site_fract_z
Br1 Br 0.737 0.630 0.395
Br2 Br 0.263 0.370 0.605
Mo1 Mo 0.774 0.000 0.001
Mo2 Mo 0.226 0.000 0.999
S1 S 0.469 0.783 0.020
S2 S 0.601 0.072 0.272
S3 S 0.399 0.928 0.728
S4 S 0.531 0.217 0.980
Se1 Se 0.023 0.845 0.151
Se2 Se 0.130 0.315 0.232
Se3 Se 0.870 0.685 0.768
Se4 Se 0.977 0.155 0.849

***

[5]
# FeSbTe | OQMD via LeMat-Bulk | GGA-PBE | relaxed
# - magnetic moment (μB per cell) = 0.0
# - density (g/cm³) = 8.2
# - calculated total energy (eV/atom) = -5.331
data_FeSbTe
_chemical_formula_sum 'Fe4 Sb4 Te4'
_cell_length_a 6.519
_cell_length_b 6.364
_cell_length_c 6.547
_cell_angle_alpha 90.00
_cell_angle_beta 114.81
_cell_angle_gamma 90.00
_space_group_name_H-M_alt 'P 1'
_space_group_IT_number 1
loop_
_space_group_symop_operation_xyz
'x,y,z'
loop_
_atom_site_label
_atom_site_type_symbol
_atom_site_fract_x
_atom_site_fract_y
_atom_site_fract_z
Fe1 Fe 0.723 0.500 0.209
Fe2 Fe 0.277 0.000 0.291
Fe3 Fe 0.723 0.000 0.709
Fe4 Fe 0.277 0.500 0.791
Sb1 Sb 0.862 0.145 0.120
Sb2 Sb 0.138 0.645 0.380
Sb3 Sb 0.862 0.355 0.620
Sb4 Sb 0.138 0.855 0.880
Te1 Te 0.350 0.359 0.171
Te2 Te 0.650 0.859 0.329
Te3 Te 0.350 0.141 0.671
Te4 Te 0.650 0.641 0.829

***

[6]
# ReOs2W2 | OQMD via LeMat-Bulk | GGA-PBE | relaxed
# - formation enthalpy at 0 K (eV per atom) = 0.93
# - magnetic moment (μB per cell) = 1.0
# - density (g/cm³) = 17.8
# - calculated total energy (eV/atom) = -11.227
# - energy above the most stable polymorph in this dataset (eV/atom) = 0.000
data_ReOs2W2
_chemical_formula_sum 'Re1 Os2 W2'
_cell_length_a 6.185
_cell_length_b 6.185
_cell_length_c 6.185
_cell_angle_alpha 142.45
_cell_angle_beta 142.45
_cell_angle_gamma 54.14
_space_group_name_H-M_alt 'P 1'
_space_group_IT_number 1
loop_
_space_group_symop_operation_xyz
'x,y,z'
loop_
_atom_site_label
_atom_site_type_symbol
_atom_site_fract_x
_atom_site_fract_y
_atom_site_fract_z
Os1 Os 0.392 0.392 0.000
Os2 Os 0.608 0.608 0.000
Re1 Re 0.000 0.000 0.000
W1 W 0.750 0.250 0.500
W2 W 0.250 0.750 0.500